# PBE-GGA BaNb2Cu, relaxed
data_BaNb2Cu
_chemical_formula_sum 'Ba4 Nb8 Cu4'
_cell_length_a 6.8217
_cell_length_b 6.8217
_cell_length_c 6.8217
_cell_angle_alpha 90.00
_cell_angle_beta 90.00
_cell_angle_gamma 90.00
_space_group_name_H-M_alt 'F m -3 m'
_space_group_IT_number 225
_space_group_name_Hall '-F 4 2 3'
loop_
_atom_site_label
_atom_site_fract_x
_atom_site_fract_y
_atom_site_fract_z
Ba1 0.0000 0.0000 0.0000
Nb1 0.2500 0.2500 0.2500
Cu1 0.0000 0.0000 0.5000
# Electronic total energy (eV for the cell shown): -86.18
# E above lowest polymorph (eV/atom): 0.135

# PBE-GGA BaNbCu, relaxed
data_BaNbCu
_chemical_formula_sum 'Ba2 Nb2 Cu2'
_cell_length_a 5.0678
_cell_length_b 5.0678
_cell_length_c 13.4572
_cell_angle_alpha 90.00
_cell_angle_beta 90.00
_cell_angle_gamma 120.00
_space_group_name_H-M_alt 'P 63/m m c'
_space_group_IT_number 194
_space_group_name_Hall '-P 6c 2c'
loop_
_atom_site_label
_atom_site_fract_x
_atom_site_fract_y
_atom_site_fract_z
Ba1 0.0000 0.0000 0.2500
Nb1 0.0000 0.0000 0.0000
Cu1 0.3333 0.6667 0.2500
# Electronic total energy (eV for the cell shown): -18.45
# E above lowest polymorph (eV/atom): 1.928

# PBE-GGA BaNbCu, relaxed
data_BaNbCu
_chemical_formula_sum 'Ba4 Nb4 Cu4'
_cell_length_a 8.3169
_cell_length_b 3.5946
_cell_length_c 10.8411
_cell_angle_alpha 90.00
_cell_angle_beta 90.00
_cell_angle_gamma 90.00
_space_group_name_H-M_alt 'P n m a'
_space_group_IT_number 62
loop_
_space_group_symop_operation_xyz
'x,y,z'
'-x,-y,-z'
'-x+1/2,-y,z+1/2'
'x+1/2,y,-z+1/2'
'x+1/2,-y+1/2,-z+1/2'
'-x+1/2,y+1/2,z+1/2'
'-x,y+1/2,-z'
'x,-y+1/2,z'
loop_
_atom_site_label
_atom_site_fract_x
_atom_site_fract_y
_atom_site_fract_z
Ba1 0.0617 0.2500 0.1780
Nb1 0.0992 0.2500 0.5405
Cu1 0.2312 0.7500 0.3902
# Electronic total energy (eV for the cell shown): -58.98
# E above lowest polymorph (eV/atom): 0.089

# PBE-GGA BaNbCu, relaxed
data_BaNbCu
_chemical_formula_sum 'Ba2 Nb2 Cu2'
_cell_length_a 3.6349
_cell_length_b 4.6758
_cell_length_c 11.1313
_cell_angle_alpha 97.70
_cell_angle_beta 90.86
_cell_angle_gamma 111.36
_space_group_name_H-M_alt 'P 1'
_space_group_IT_number 1
loop_
_space_group_symop_operation_xyz
'x,y,z'
loop_
_atom_site_label
_atom_site_fract_x
_atom_site_fract_y
_atom_site_fract_z
Ba1 0.0000 0.0000 0.0000
Ba2 0.3711 0.6630 0.3605
Nb1 0.2176 0.4744 0.7788
Nb2 0.5815 0.9931 0.7090
Cu1 0.1313 0.1369 0.5482
Cu2 0.8173 0.5512 0.5925
# Electronic total energy (eV for the cell shown): -29.93
# E above lowest polymorph (eV/atom): 0.016